Record 1
Below is a relaxed ZrOsSe2 crystal, with properties calculated at the PBE-GGA level.

Calculated values
**Space group**: F-43m
**Energy**: -25.6 eV for the cell shown
**V**: 18.62 Å³ per atom
**M_tot**: 1.6 μB/f.u.
**Crystal system**: cubic

a = 4.723 Å, b = 4.723 Å, c = 4.723 Å
α = 60.00°, β = 60.00°, γ = 60.00°
Positions (direct):
Zr  0.750  0.750  0.750
Se  0.000  0.000  0.000
Se  0.250  0.250  0.250
Os  0.500  0.500  0.500

---

Record 2
Below is a relaxed KMg2BiAs crystal, with properties calculated at the PBE-GGA level.

Calculated values
**Formation enthalpy at 0 K**: 0.308 eV per atom
**Space group**: P4/mmm
**Energy**: -11.3 eV for the cell shown
**V**: 37.33 Å³ per atom
**M_tot**: 0.0 μB/f.u.
**Crystal system**: tetragonal

a = 5.637 Å, b = 5.874 Å, c = 5.637 Å
α = 90.00°, β = 90.00°, γ = 90.00°
Positions (direct):
Mg  0.000  0.000  0.500
Mg  0.500  0.000  0.000
As  0.000  0.500  0.000
Bi  0.000  0.000  0.000
K  0.500  0.500  0.500

---

Record 3
Below is a relaxed VGa2Tc crystal, with properties calculated at the PBE-GGA level.

Calculated values
**Formation enthalpy at 0 K**: 0.292 eV per atom
**Space group**: I-42d
**Energy**: -48.7 eV for the cell shown
**V**: 15.63 Å³ per atom
**M_tot**: 0.9 μB/f.u.
**Crystal system**: tetragonal

a = 6.866 Å, b = 6.866 Å, c = 5.533 Å
α = 51.65°, β = 51.65°, γ = 90.00°
Positions (direct):
Tc  0.000  0.000  0.000
Tc  0.750  0.250  0.500
Ga  0.126  0.625  0.250
Ga  0.624  0.125  0.250
Ga  0.875  0.874  0.750
Ga  0.375  0.376  0.750
V  0.250  0.750  0.500
V  0.500  0.500  0.000

---

Record 4
Below is a relaxed U5TaC6 crystal, with properties calculated at the PBE-GGA level.

Calculated values
**Formation enthalpy at 0 K**: -0.257 eV per atom
**Space group**: C2/m
**Energy**: -126.7 eV for the cell shown
**V**: 14.28 Å³ per atom
**M_tot**: 0.7 μB/f.u.
**Crystal system**: monoclinic

a = 5.932 Å, b = 5.940 Å, c = 5.949 Å
α = 60.05°, β = 80.49°, γ = 70.68°
Positions (direct):
C  0.765  0.392  0.685
C  0.235  0.923  0.685
C  0.239  0.236  0.000
C  0.235  0.608  0.315
C  0.761  0.764  0.000
C  0.765  0.077  0.315
Ta  0.000  0.000  0.000
U  0.500  0.833  0.334
U  0.500  0.500  0.000
U  0.000  0.667  0.667
U  0.000  0.333  0.333
U  0.500  0.167  0.666